Record 1
Here is a relaxed Li3IrBr crystal from Alexandria via LeMat-Bulk. Energies are from PBE-GGA.

Values from the calculation:
**Density of states at the Fermi level**: 2.85 states/eV per cell
**Space group**: Pm-3m
**Relative energy among the computed polymorphs**: 27 meV per atom
**Formation energy without anion corrections**: 0.1321 eV/atom
**Calculated total energy**: -3.123 eV per atom

Cell lengths 4.639, 4.639, 4.639 Å; angles 90.00, 90.00, 90.00 degrees
Atoms (fractional coordinates):
Li 0.000 0.000 0.500
Li 0.000 0.500 0.000
Li 0.500 0.000 0.000
Ir 0.500 0.500 0.500
Br 0.000 0.000 0.000

Record 2
Here is a relaxed LiIrBr crystal from Alexandria via LeMat-Bulk. Energies are from PBE-GGA.

Values from the calculation:
**Density of states at the Fermi level**: 2.43 states/eV per cell
**Space group**: P3m1
**Relative energy among the computed polymorphs**: 0 meV per atom
**Formation energy without anion corrections**: 0.2486 eV/atom
**Calculated total energy**: -3.901 eV per atom

Cell lengths 2.830, 2.830, 8.138 Å; angles 90.00, 90.00, 120.00 degrees
Atoms (fractional coordinates):
Li 0.000 0.000 0.000
Ir 0.333 0.667 0.741
Br 0.667 0.333 0.251

Record 3
Here is a relaxed Li2IrBr crystal from Alexandria via LeMat-Bulk. Energies are from PBE-GGA.

Values from the calculation:
**Density of states at the Fermi level**: 2.61 states/eV per cell
**Space group**: Fm-3m
**Relative energy among the computed polymorphs**: 449 meV per atom
**Formation energy without anion corrections**: 0.1919 eV/atom
**Calculated total energy**: -3.398 eV per atom

Cell lengths 4.434, 4.434, 4.434 Å; angles 60.00, 60.00, 60.00 degrees
Atoms (fractional coordinates):
Li 0.250 0.250 0.250
Li 0.750 0.750 0.750
Ir 0.000 0.000 0.000
Br 0.500 0.500 0.500

Record 4
Here is a relaxed LiIrBr crystal from Alexandria via LeMat-Bulk. Energies are from PBE-GGA.

Values from the calculation:
**Density of states at the Fermi level**: 2.41 states/eV per cell
**Space group**: Cm
**Relative energy among the computed polymorphs**: 5 meV per atom
**Formation energy without anion corrections**: 0.2536 eV/atom
**Calculated total energy**: -3.896 eV per atom

Cell lengths 4.930, 4.930, 3.393 Å; angles 90.34, 90.34, 38.43 degrees
Atoms (fractional coordinates):
Li 0.000 0.000 0.000
Ir 0.369 0.369 0.498
Br 0.640 0.640 0.500

Record 5
Here is a relaxed Li2IrBr crystal from Alexandria via LeMat-Bulk. Energies are from PBE-GGA.

Values from the calculation:
**Density of states at the Fermi level**: 1.05 states/eV per cell
**Space group**: Immm
**Relative energy among the computed polymorphs**: 294 meV per atom
**Formation energy without anion corrections**: 0.0371 eV/atom
**Calculated total energy**: -3.553 eV per atom

Cell lengths 4.998, 4.998, 4.998 Å; angles 142.53, 123.86, 69.46 degrees
Atoms (fractional coordinates):
Li 0.240 0.240 0.000
Li 0.760 0.760 0.000
Ir 0.500 0.000 0.500
Br 0.000 0.500 0.500

Record 6
Here is a relaxed Li3IrBr crystal from Alexandria via LeMat-Bulk. Energies are from PBE-GGA.

Values from the calculation:
**Density of states at the Fermi level**: 12.23 states/eV per cell
**Space group**: Pm-3m
**Relative energy among the computed polymorphs**: 0 meV per atom
**Formation energy without anion corrections**: 0.1049 eV/atom
**Calculated total energy**: -3.150 eV per atom

Cell lengths 4.881, 4.881, 4.881 Å; angles 90.00, 90.00, 90.00 degrees
Atoms (fractional coordinates):
Li 0.000 0.000 0.500
Li 0.000 0.500 0.000
Li 0.500 0.000 0.000
Ir 0.000 0.000 0.000
Br 0.500 0.500 0.500

Record 7
Here is a relaxed Li2IrBr crystal from Alexandria via LeMat-Bulk. Energies are from PBE-GGA.

Values from the calculation:
**Density of states at the Fermi level**: 3.17 states/eV per cell
**Space group**: R-3m
**Relative energy among the computed polymorphs**: 0 meV per atom
**Formation energy without anion corrections**: -0.2569 eV/atom
**Calculated total energy**: -3.847 eV per atom

Cell lengths 8.090, 8.090, 8.090 Å; angles 21.63, 21.63, 21.63 degrees
Atoms (fractional coordinates):
Li 0.247 0.247 0.247
Li 0.753 0.753 0.753
Ir 0.000 0.000 0.000
Br 0.500 0.500 0.500

Record 8
Here is a relaxed Li2IrBr crystal from Alexandria via LeMat-Bulk. Energies are from PBE-GGA.

Values from the calculation:
**Density of states at the Fermi level**: 3.63 states/eV per cell
**Space group**: I-4m2
**Relative energy among the computed polymorphs**: 329 meV per atom
**Formation energy without anion corrections**: 0.0722 eV/atom
**Calculated total energy**: -3.518 eV per atom

Cell lengths 5.331, 5.331, 5.331 Å; angles 140.12, 140.12, 57.67 degrees
Atoms (fractional coordinates):
Li 0.000 0.000 0.000
Li 0.750 0.250 0.500
Ir 0.500 0.500 0.000
Br 0.250 0.750 0.500